Material: LuTlFeNi
Method: DFT, GGA-PBE
State: relaxed

The calculation puts the final energy at -79.99 eV/cell. The spin magnetization comes out at 2.873 μB per formula unit.

It has space group F-43m (No. 216), with a = 6.6192 Å, b = 6.6192 Å, c = 6.6192 Å, α = 90.00°, β = 90.00° and γ = 90.00°. The distinct sites, in fractional coordinates, are Lu at (0.0000, 0.0000, 0.0000), Tl at (0.2500, 0.2500, 0.2500), Fe at (0.0000, 0.0000, 0.5000) and Ni at (0.2500, 0.2500, 0.7500).



Material: LuTlFeNi
Method: DFT, GGA-PBE
State: relaxed

The calculation puts the final energy at -82.07 eV/cell. The spin magnetization comes out at 2.171 μB per formula unit.

It has space group F-43m (No. 216), with a = 6.5088 Å, b = 6.5088 Å, c = 6.5088 Å, α = 90.00°, β = 90.00° and γ = 90.00°. The distinct sites, in fractional coordinates, are Lu at (0.0000, 0.0000, 0.0000), Tl at (0.0000, 0.0000, 0.5000), Fe at (0.2500, 0.2500, 0.7500) and Ni at (0.2500, 0.2500, 0.2500).



Material: LuFeOs
Method: DFT, GGA-PBE
State: relaxed

The calculation puts the final energy at -90.93 eV/cell. The spin magnetization comes out at 3.649 μB per formula unit.

It has space group F-43m (No. 216), with a = 6.2116 Å, b = 6.2116 Å, c = 6.2116 Å, α = 90.00°, β = 90.00° and γ = 90.00°. The distinct sites, in fractional coordinates, are Lu at (0.0000, 0.0000, 0.0000), Fe at (0.0000, 0.0000, 0.5000) and Os at (0.2500, 0.2500, 0.7500).



Material: Lu2FeOs
Method: DFT, GGA-PBE
State: relaxed

The calculation puts the final energy at -111.28 eV/cell. The spin magnetization comes out at 2.521 μB per formula unit.

It has space group F-43m (No. 216), with a = 6.6104 Å, b = 6.6104 Å, c = 6.6104 Å, α = 90.00°, β = 90.00° and γ = 90.00°. The distinct sites, in fractional coordinates, are Lu at (0.0000, 0.0000, 0.0000), Lu at (0.2500, 0.2500, 0.2500), Fe at (0.2500, 0.2500, 0.7500) and Os at (0.0000, 0.0000, 0.5000).



Material: LuFeOs
Method: DFT, GGA-PBE
State: relaxed

The calculation puts the final energy at -82.29 eV/cell. The spin magnetization comes out at 3.465 μB per formula unit.

It has space group F-43m (No. 216), with a = 6.2151 Å, b = 6.2151 Å, c = 6.2151 Å, α = 90.00°, β = 90.00° and γ = 90.00°. The distinct sites, in fractional coordinates, are Lu at (0.0000, 0.0000, 0.0000), Fe at (0.2500, 0.2500, 0.7500) and Os at (0.2500, 0.2500, 0.2500).



Material: Lu2FeOs3
Method: DFT, GGA-PBE
State: relaxed

The calculation puts the final energy at -106.34 eV/cell. The spin magnetization comes out at 1.918 μB per formula unit.

It has space group P6_3/mmc (No. 194), with a = 5.2720 Å, b = 5.2720 Å, c = 8.4638 Å, α = 90.00°, β = 90.00° and γ = 120.00°. The distinct sites, in fractional coordinates, are Lu at (0.3333, 0.6667, 0.0666), Fe at (0.0000, 0.0000, 0.0000) and Os at (0.1698, 0.3396, 0.7500).